Cd2Ag2Sn (SCAN, PBEsol geometry); ΔH_f (0 K) = 0.071 eV per atom; uncorrected energy = -31.826 eV per atom
1.0
8.397 0.000 0.000
0.000 8.397 0.000
0.000 0.000 3.094
Cd Ag Sn
4 4 2
Direct
0.127 0.373 0.000
0.373 0.873 0.000
0.627 0.127 0.000
0.873 0.627 0.000
0.170 0.670 0.500
0.330 0.170 0.500
0.670 0.830 0.500
0.830 0.330 0.500
0.000 0.000 0.000
0.500 0.500 0.000

=====

SrCdAg4 (SCAN, PBEsol geometry); ΔH_f (0 K) = -0.191 eV per atom; uncorrected energy = -29.884 eV per atom
1.0
0.000 3.942 3.942
3.942 0.000 3.942
3.942 3.942 0.000
Sr Cd Ag
1 1 4
Direct
0.000 0.000 0.000
0.750 0.750 0.750
0.376 0.376 0.376
0.376 0.376 0.873
0.376 0.873 0.376
0.873 0.376 0.376

=====

SrCd2Ag (SCAN, PBEsol geometry); ΔH_f (0 K) = -0.128 eV per atom; uncorrected energy = -28.746 eV per atom
1.0
4.511 0.000 0.000
0.000 4.511 0.000
0.000 0.000 4.878
Sr Cd Ag
1 2 1
Direct
0.000 0.000 0.000
0.000 0.500 0.500
0.500 0.000 0.500
0.500 0.500 0.000